The following is a DFT calculation (GGA-PBE) of a geometry-optimized CaPdAu structure. Values from VASP.

Quantum ESPRESSO input file:
```
&SYSTEM
  ibrav = 0, nat = 6, ntyp = 3
/
ATOMIC_SPECIES
Ca 40.08 Ca.upf
Pd 106.42 Pd.upf
Au 196.97 Au.upf
ATOMIC_POSITIONS angstrom
Ca 0.0000 0.0000 0.0000
Ca 1.8294 1.8294 4.6283
Pd 0.0000 0.0000 6.2223
Pd 1.8294 1.8294 1.5940
Au 0.0000 0.0000 3.0094
Au 1.8294 1.8294 7.6377
CELL_PARAMETERS angstrom
3.6588 0.0000 0.0000
0.0000 3.6588 0.0000
0.0000 0.0000 9.2565
```

ρ (g cm⁻³): 9.21
Energy (eV/atom): -4.064
Energy of formation (eV/f.u.): -1.7

The following is a DFT calculation (GGA-PBE) of a geometry-optimized CaPdAu3 structure. Values from VASP.

Quantum ESPRESSO input file:
```
&SYSTEM
  ibrav = 0, nat = 10, ntyp = 3
/
ATOMIC_SPECIES
Ca 40.08 Ca.upf
Pd 106.42 Pd.upf
Au 196.97 Au.upf
ATOMIC_POSITIONS angstrom
Ca 0.0000 0.0000 0.0000
Ca 2.0057 2.0057 6.6084
Pd 0.0000 0.0000 7.6809
Pd 2.0057 2.0057 1.0725
Au 0.0000 0.0000 5.0596
Au 0.0000 2.0057 3.0001
Au 0.0000 2.0057 9.6086
Au 2.0057 0.0000 3.0001
Au 2.0057 0.0000 9.6086
Au 2.0057 2.0057 11.6680
CELL_PARAMETERS angstrom
4.0113 0.0000 0.0000
0.0000 4.0113 0.0000
0.0000 0.0000 13.2169
```

ρ (g cm⁻³): 11.52
Energy (eV/atom): -3.833
Energy of formation (eV/f.u.): -2.1

The following is a DFT calculation (GGA-PBE) of a geometry-optimized CaPd2Au2 structure. Values from VASP.

Quantum ESPRESSO input file:
```
&SYSTEM
  ibrav = 0, nat = 10, ntyp = 3
/
ATOMIC_SPECIES
Ca 40.08 Ca.upf
Pd 106.42 Pd.upf
Au 196.97 Au.upf
ATOMIC_POSITIONS angstrom
Ca 0.0000 0.0000 0.0000
Ca 4.1407 3.0894 0.0000
Pd -1.2586 1.7757 1.9225
Pd -1.2586 4.4031 1.9225
Pd 2.8821 1.3137 1.9225
Pd 2.8821 4.8650 1.9225
Au 1.1174 3.0894 0.7614
Au 0.5061 0.0000 3.0835
Au 5.2581 0.0000 0.7614
Au 4.6468 3.0894 3.0835
CELL_PARAMETERS angstrom
8.2814 0.0000 0.0000
0.0000 6.1788 0.0000
-2.5173 0.0000 3.8449
```

ρ (g cm⁻³): 10.92
Energy (eV/atom): -4.198
Energy of formation (eV/f.u.): -2.0